(1)
In2PtCl4: relaxed, GGA-PBE.

a b c (Å): 8.433 8.433 8.433
angles (deg): 144.90 144.90 50.49
Sites, in units of the cell vectors:
In (0.136, 0.136, 0.000)
In (0.864, 0.864, 0.000)
Pt (0.500, 0.500, 0.000)
Cl (0.000, 0.500, 0.500)
Cl (0.344, 0.344, 0.000)
Cl (0.500, 0.000, 0.500)
Cl (0.656, 0.656, 0.000)

For the density, the calculation gives 4.8 g/cm3. Its formation energy without anion corrections is -0.574 eV/atom. As for the space group: No. 139. The total energy comes out at -3.2750 eV per atom.


(2)
In2PtCl: relaxed, GGA-PBE.

a b c (Å): 6.923 6.923 6.923
angles (deg): 146.94 146.94 47.46
Sites, in units of the cell vectors:
In (0.000, 0.000, 0.000)
In (0.750, 0.250, 0.500)
Pt (0.250, 0.750, 0.500)
Cl (0.500, 0.500, 0.000)

For the density, the calculation gives 7.8 g/cm3. Its formation energy without anion corrections is -0.176 eV/atom. As for the space group: No. 119. For the distance to the lowest polymorph of the same formula, the calculation gives 7.42 kcal/mol of atoms. The total energy comes out at -3.5169 eV per atom.


(3)
RbInPtCl6: relaxed, GGA-PBE.

a b c (Å): 6.666 6.666 7.382
angles (deg): 90.00 90.00 120.00
Sites, in units of the cell vectors:
Rb (0.000, 0.000, 0.000)
In (0.667, 0.333, 0.500)
Pt (0.333, 0.667, 0.500)
Cl (0.002, 0.370, 0.695)
Cl (0.002, 0.632, 0.305)
Cl (0.368, 0.370, 0.305)
Cl (0.368, 0.998, 0.695)
Cl (0.630, 0.632, 0.695)
Cl (0.630, 0.998, 0.305)

For the density, the calculation gives 3.6 g/cm3. Its formation energy without anion corrections is -0.962 eV/atom. As for the space group: No. 149. The total energy comes out at -3.2762 eV per atom.


(4)
InPtS2Cl: relaxed, GGA-PBE.

a b c (Å): 5.059 5.059 4.864
angles (deg): 90.00 90.00 90.00
Sites, in units of the cell vectors:
In (0.000, 0.000, 0.000)
Pt (0.500, 0.500, 0.500)
S (0.000, 0.500, 0.000)
S (0.500, 0.000, 0.000)
Cl (0.000, 0.000, 0.500)

For the density, the calculation gives 5.5 g/cm3. Its formation energy without anion corrections is 0.767 eV/atom. As for the space group: No. 123. For the distance to the lowest polymorph of the same formula, the calculation gives 16.77 kcal/mol of atoms. The total energy comes out at -3.0091 eV per atom.


(5)
InPtS2Cl: relaxed, GGA-PBE.

a b c (Å): 4.770 4.770 4.997
angles (deg): 90.00 90.00 90.00
Sites, in units of the cell vectors:
In (0.000, 0.000, 0.000)
Pt (0.500, 0.500, 0.500)
S (0.000, 0.500, 0.500)
S (0.500, 0.000, 0.500)
Cl (0.500, 0.500, 0.000)

For the density, the calculation gives 6.0 g/cm3. Its formation energy without anion corrections is 0.040 eV/atom. As for the space group: No. 123. For the distance to the lowest polymorph of the same formula, the calculation gives 0.00 kcal/mol of atoms. The total energy comes out at -3.7362 eV per atom.


(6)
TiInPtCl2: relaxed, GGA-PBE.

a b c (Å): 4.948 4.948 5.131
angles (deg): 90.00 90.00 90.00
Sites, in units of the cell vectors:
Ti (0.000, 0.000, 0.000)
In (0.500, 0.500, 0.000)
Pt (0.000, 0.000, 0.500)
Cl (0.000, 0.500, 0.500)
Cl (0.500, 0.000, 0.500)

For the density, the calculation gives 5.7 g/cm3. Its formation energy without anion corrections is 0.166 eV/atom. As for the space group: No. 123. The total energy comes out at -3.9078 eV per atom.


Q: Which of these has the highest formation energy without anion corrections?
A: number 4


Q: The lowest formation energy without anion corrections belongs to which entry?
A: RbInPtCl6


Q: Which value of formation energy without anion corrections does entry 3 give?
A: -0.962 eV/atom